# 1
# La3YTc (PBE-GGA, optimized geometry)
data_La3YTc
_cell_length_a 6.595
_cell_length_b 10.545
_cell_length_c 10.545
_cell_angle_alpha 60.28
_cell_angle_beta 84.02
_cell_angle_gamma 84.02
_symmetry_space_group_name_H-M 'P 1'
_symmetry_Int_Tables_number 1
loop_
_symmetry_equiv_pos_as_xyz
'x,y,z'
loop_
_atom_site_label
_atom_site_type_symbol
_atom_site_fract_x
_atom_site_fract_y
_atom_site_fract_z
_atom_site_occupancy
La1 La 0.532 0.372 0.284 1
La2 La 0.852 0.012 0.268 1
La3 La 0.367 0.953 0.382 1
La4 La 0.352 0.268 0.012 1
La5 La 0.867 0.382 0.953 1
La6 La 0.468 0.628 0.716 1
La7 La 0.148 0.988 0.732 1
La8 La 0.633 0.047 0.618 1
La9 La 0.032 0.284 0.372 1
La10 La 0.648 0.732 0.988 1
La11 La 0.968 0.716 0.628 1
La12 La 0.133 0.618 0.047 1
Y1 Y 0.250 0.385 0.615 1
Y2 Y 0.250 0.912 0.088 1
Y3 Y 0.750 0.615 0.385 1
Y4 Y 0.750 0.088 0.912 1
Tc1 Tc 0.805 0.278 0.583 1
Tc2 Tc 0.695 0.417 0.722 1
Tc3 Tc 0.305 0.583 0.278 1
Tc4 Tc 0.195 0.722 0.417 1
# Excess energy over the best structure of this formula in the dataset = 0 meV per atom
# Space group = C2/c, No. 15
# Spin magnetization = 0.000 μB/atom
# Energy of formation from the pure elements = 86 meV/atom



# 2
# La3YTc (PBE-GGA, optimized geometry)
data_La3YTc
_cell_length_a 5.727
_cell_length_b 5.727
_cell_length_c 5.727
_cell_angle_alpha 90.00
_cell_angle_beta 90.00
_cell_angle_gamma 90.00
_symmetry_space_group_name_H-M 'P 1'
_symmetry_Int_Tables_number 1
loop_
_symmetry_equiv_pos_as_xyz
'x,y,z'
loop_
_atom_site_label
_atom_site_type_symbol
_atom_site_fract_x
_atom_site_fract_y
_atom_site_fract_z
_atom_site_occupancy
La1 La 0.000 0.500 0.000 1
La2 La 0.000 0.000 0.500 1
La3 La 0.500 0.000 0.000 1
Tc1 Tc 0.500 0.500 0.500 1
Y1 Y 0.000 0.000 0.000 1
# Excess energy over the best structure of this formula in the dataset = 1306 meV per atom
# Space group = Pm-3m, No. 221
# Spin magnetization = 0.657 μB/atom
# Energy of formation from the pure elements = 1392 meV/atom



# 3
# LaYTc2 (PBE-GGA, optimized geometry)
data_LaYTc2
_cell_length_a 4.065
_cell_length_b 3.310
_cell_length_c 7.679
_cell_angle_alpha 73.66
_cell_angle_beta 90.00
_cell_angle_gamma 90.00
_symmetry_space_group_name_H-M 'P 1'
_symmetry_Int_Tables_number 1
loop_
_symmetry_equiv_pos_as_xyz
'x,y,z'
loop_
_atom_site_label
_atom_site_type_symbol
_atom_site_fract_x
_atom_site_fract_y
_atom_site_fract_z
_atom_site_occupancy
La1 La 0.500 0.779 0.820 1
Tc1 Tc 0.000 0.023 0.068 1
Tc2 Tc 0.500 0.212 0.190 1
Y1 Y 0.000 0.486 0.421 1
# Excess energy over the best structure of this formula in the dataset = 142 meV per atom
# Space group = Pm, No. 6
# Spin magnetization = 0.000 μB/atom
# Energy of formation from the pure elements = 179 meV/atom



# 4
# LaY2Tc (PBE-GGA, optimized geometry)
data_LaY2Tc
_cell_length_a 6.329
_cell_length_b 6.329
_cell_length_c 5.506
_cell_angle_alpha 64.27
_cell_angle_beta 64.27
_cell_angle_gamma 33.79
_symmetry_space_group_name_H-M 'P 1'
_symmetry_Int_Tables_number 1
loop_
_symmetry_equiv_pos_as_xyz
'x,y,z'
loop_
_atom_site_label
_atom_site_type_symbol
_atom_site_fract_x
_atom_site_fract_y
_atom_site_fract_z
_atom_site_occupancy
Tc1 Tc 0.756 0.756 0.746 1
Y1 Y 0.248 0.248 0.251 1
Y2 Y 0.051 0.051 0.948 1
La1 La 0.445 0.445 0.555 1
# Excess energy over the best structure of this formula in the dataset = 152 meV per atom
# Space group = Cm, No. 8
# Spin magnetization = 0.000 μB/atom
# Energy of formation from the pure elements = 60 meV/atom



# 5
# LaYTc2 (PBE-GGA, optimized geometry)
data_LaYTc2
_cell_length_a 7.570
_cell_length_b 7.570
_cell_length_c 6.160
_cell_angle_alpha 52.08
_cell_angle_beta 52.08
_cell_angle_gamma 90.00
_symmetry_space_group_name_H-M 'P 1'
_symmetry_Int_Tables_number 1
loop_
_symmetry_equiv_pos_as_xyz
'x,y,z'
loop_
_atom_site_label
_atom_site_type_symbol
_atom_site_fract_x
_atom_site_fract_y
_atom_site_fract_z
_atom_site_occupancy
Tc1 Tc 0.375 0.362 0.750 1
Tc2 Tc 0.875 0.888 0.750 1
Tc3 Tc 0.112 0.625 0.250 1
Tc4 Tc 0.638 0.125 0.250 1
Y1 Y 0.500 0.500 0.000 1
Y2 Y 0.250 0.750 0.500 1
La1 La 0.750 0.250 0.500 1
La2 La 0.000 0.000 0.000 1
# Excess energy over the best structure of this formula in the dataset = 677 meV per atom
# Space group = I-42d, No. 122
# Spin magnetization = 0.000 μB/atom
# Energy of formation from the pure elements = 715 meV/atom



# 6
# LaY2Tc (PBE-GGA, optimized geometry)
data_LaY2Tc
_cell_length_a 6.506
_cell_length_b 7.414
_cell_length_c 9.422
_cell_angle_alpha 90.00
_cell_angle_beta 90.00
_cell_angle_gamma 90.00
_symmetry_space_group_name_H-M 'P 1'
_symmetry_Int_Tables_number 1
loop_
_symmetry_equiv_pos_as_xyz
'x,y,z'
loop_
_atom_site_label
_atom_site_type_symbol
_atom_site_fract_x
_atom_site_fract_y
_atom_site_fract_z
_atom_site_occupancy
Tc1 Tc 0.018 0.376 0.250 1
Tc2 Tc 0.482 0.876 0.250 1
Tc3 Tc 0.982 0.624 0.750 1
Tc4 Tc 0.518 0.124 0.750 1
Y1 Y 0.666 0.825 0.933 1
Y2 Y 0.334 0.175 0.067 1
Y3 Y 0.166 0.675 0.067 1
Y4 Y 0.334 0.175 0.433 1
Y5 Y 0.834 0.325 0.933 1
Y6 Y 0.166 0.675 0.433 1
Y7 Y 0.666 0.825 0.567 1
Y8 Y 0.834 0.325 0.567 1
La1 La 0.131 0.945 0.750 1
La2 La 0.869 0.055 0.250 1
La3 La 0.369 0.445 0.750 1
La4 La 0.631 0.555 0.250 1
# Excess energy over the best structure of this formula in the dataset = 0 meV per atom
# Space group = Pnma, No. 62
# Spin magnetization = 0.000 μB/atom
# Energy of formation from the pure elements = -92 meV/atom



# 7
# LaYTc2 (PBE-GGA, optimized geometry)
data_LaYTc2
_cell_length_a 4.932
_cell_length_b 4.932
_cell_length_c 4.932
_cell_angle_alpha 60.00
_cell_angle_beta 60.00
_cell_angle_gamma 60.00
_symmetry_space_group_name_H-M 'P 1'
_symmetry_Int_Tables_number 1
loop_
_symmetry_equiv_pos_as_xyz
'x,y,z'
loop_
_atom_site_label
_atom_site_type_symbol
_atom_site_fract_x
_atom_site_fract_y
_atom_site_fract_z
_atom_site_occupancy
Tc1 Tc 0.750 0.750 0.750 1
Tc2 Tc 0.250 0.250 0.250 1
Y1 Y 0.000 0.000 0.000 1
La1 La 0.500 0.500 0.500 1
# Excess energy over the best structure of this formula in the dataset = 270 meV per atom
# Space group = Fm-3m, No. 225
# Spin magnetization = 0.000 μB/atom
# Energy of formation from the pure elements = 307 meV/atom



# 8
# LaY2Tc (PBE-GGA, optimized geometry)
data_LaY2Tc
_cell_length_a 10.510
_cell_length_b 10.510
_cell_length_c 10.510
_cell_angle_alpha 19.37
_cell_angle_beta 19.37
_cell_angle_gamma 19.37
_symmetry_space_group_name_H-M 'P 1'
_symmetry_Int_Tables_number 1
loop_
_symmetry_equiv_pos_as_xyz
'x,y,z'
loop_
_atom_site_label
_atom_site_type_symbol
_atom_site_fract_x
_atom_site_fract_y
_atom_site_fract_z
_atom_site_occupancy
La1 La 0.250 0.250 0.250 1
Y1 Y 0.019 0.019 0.019 1
Y2 Y 0.481 0.481 0.481 1
Tc1 Tc 0.750 0.750 0.750 1
# Excess energy over the best structure of this formula in the dataset = 285 meV per atom
# Space group = R-3m, No. 166
# Spin magnetization = 0.007 μB/atom
# Energy of formation from the pure elements = 193 meV/atom



# 9
# LaYTc2 (PBE-GGA, optimized geometry)
data_LaYTc2
_cell_length_a 6.112
_cell_length_b 6.112
_cell_length_c 4.942
_cell_angle_alpha 66.16
_cell_angle_beta 66.16
_cell_angle_gamma 32.69
_symmetry_space_group_name_H-M 'P 1'
_symmetry_Int_Tables_number 1
loop_
_symmetry_equiv_pos_as_xyz
'x,y,z'
loop_
_atom_site_label
_atom_site_type_symbol
_atom_site_fract_x
_atom_site_fract_y
_atom_site_fract_z
_atom_site_occupancy
Y1 Y 0.487 0.487 0.513 1
Tc1 Tc 0.038 0.038 0.962 1
Tc2 Tc 0.708 0.708 0.792 1
La1 La 0.266 0.266 0.234 1
# Excess energy over the best structure of this formula in the dataset = 126 meV per atom
# Space group = Imm2, No. 44
# Spin magnetization = 0.000 μB/atom
# Energy of formation from the pure elements = 163 meV/atom



# 10
# LaY2Tc (PBE-GGA, optimized geometry)
data_LaY2Tc
_cell_length_a 3.511
_cell_length_b 3.511
_cell_length_c 9.070
_cell_angle_alpha 90.00
_cell_angle_beta 90.00
_cell_angle_gamma 90.00
_symmetry_space_group_name_H-M 'P 1'
_symmetry_Int_Tables_number 1
loop_
_symmetry_equiv_pos_as_xyz
'x,y,z'
loop_
_atom_site_label
_atom_site_type_symbol
_atom_site_fract_x
_atom_site_fract_y
_atom_site_fract_z
_atom_site_occupancy
Tc1 Tc 0.500 0.500 0.753 1
La1 La 0.000 0.000 0.564 1
Y1 Y 0.500 0.500 0.244 1
Y2 Y 0.000 0.000 0.939 1
# Excess energy over the best structure of this formula in the dataset = 192 meV per atom
# Space group = P4mm, No. 99
# Spin magnetization = 0.006 μB/atom
# Energy of formation from the pure elements = 100 meV/atom



# 11
# LaYTc (PBE-GGA, optimized geometry)
data_LaYTc
_cell_length_a 7.101
_cell_length_b 7.055
_cell_length_c 3.514
_cell_angle_alpha 76.37
_cell_angle_beta 74.89
_cell_angle_gamma 28.74
_symmetry_space_group_name_H-M 'P 1'
_symmetry_Int_Tables_number 1
loop_
_symmetry_equiv_pos_as_xyz
'x,y,z'
loop_
_atom_site_label
_atom_site_type_symbol
_atom_site_fract_x
_atom_site_fract_y
_atom_site_fract_z
_atom_site_occupancy
La1 La 0.961 0.961 0.039 1
Tc1 Tc 0.331 0.331 0.669 1
Y1 Y 0.708 0.708 0.292 1
# Excess energy over the best structure of this formula in the dataset = 38 meV per atom
# Space group = Fmm2, No. 42
# Spin magnetization = 0.000 μB/atom
# Energy of formation from the pure elements = 44 meV/atom



# 12
# LaY2Tc (PBE-GGA, optimized geometry)
data_LaY2Tc
_cell_length_a 4.097
_cell_length_b 3.745
_cell_length_c 7.779
_cell_angle_alpha 73.00
_cell_angle_beta 90.00
_cell_angle_gamma 90.00
_symmetry_space_group_name_H-M 'P 1'
_symmetry_Int_Tables_number 1
loop_
_symmetry_equiv_pos_as_xyz
'x,y,z'
loop_
_atom_site_label
_atom_site_type_symbol
_atom_site_fract_x
_atom_site_fract_y
_atom_site_fract_z
_atom_site_occupancy
La1 La 0.000 0.607 0.547 1
Y1 Y 0.500 0.312 0.208 1
Y2 Y 0.000 0.981 0.943 1
Tc1 Tc 0.500 0.600 0.803 1
# Excess energy over the best structure of this formula in the dataset = 254 meV per atom
# Space group = Pm, No. 6
# Spin magnetization = 0.000 μB/atom
# Energy of formation from the pure elements = 162 meV/atom



What did the sixth record say?
# LaY2Tc (PBE-GGA, optimized geometry)
data_LaY2Tc
_cell_length_a 6.506
_cell_length_b 7.414
_cell_length_c 9.422
_cell_angle_alpha 90.00
_cell_angle_beta 90.00
_cell_angle_gamma 90.00
_symmetry_space_group_name_H-M 'P 1'
_symmetry_Int_Tables_number 1
loop_
_symmetry_equiv_pos_as_xyz
'x,y,z'
loop_
_atom_site_label
_atom_site_type_symbol
_atom_site_fract_x
_atom_site_fract_y
_atom_site_fract_z
_atom_site_occupancy
Tc1 Tc 0.018 0.376 0.250 1
Tc2 Tc 0.482 0.876 0.250 1
Tc3 Tc 0.982 0.624 0.750 1
Tc4 Tc 0.518 0.124 0.750 1
Y1 Y 0.666 0.825 0.933 1
Y2 Y 0.334 0.175 0.067 1
Y3 Y 0.166 0.675 0.067 1
Y4 Y 0.334 0.175 0.433 1
Y5 Y 0.834 0.325 0.933 1
Y6 Y 0.166 0.675 0.433 1
Y7 Y 0.666 0.825 0.567 1
Y8 Y 0.834 0.325 0.567 1
La1 La 0.131 0.945 0.750 1
La2 La 0.869 0.055 0.250 1
La3 La 0.369 0.445 0.750 1
La4 La 0.631 0.555 0.250 1
# Excess energy over the best structure of this formula in the dataset = 0 meV per atom
# Space group = Pnma, No. 62
# Spin magnetization = 0.000 μB/atom
# Energy of formation from the pure elements = -92 meV/atom